Record 1
Computed, not measured: a geometry-optimized TlReMo structure at the PBE-GGA level of DFT.

Unit cell a=3.0462 b=4.9353 c=14.5008 alpha=90.00 beta=90.00 gamma=90.00
With the nearest neighbours (Å) after each atom.
Space group Fmm2 (No. 42)
Asymmetric unit:
Tl 0.0000 0.0000 0.0000 [4 per cell]  6 Tl 2.90-3.05, 2 Mo 2.99, 2 Re 3.01
Re 0.0000 0.0000 0.3210 [4 per cell]  2 Mo 2.58
Mo 0.0000 0.0000 0.6778 [4 per cell]  2 Re 2.58

Results
Total moment   0.0 μB/f.u.
Formation enthalpy at 0 K   683 meV/atom
Energy above the most stable polymorph in this dataset   143 meV per atom

Record 2
Computed, not measured: a geometry-optimized ThSn2Pd6 structure at the PBE-GGA level of DFT.

Unit cell a=5.5524 b=5.5524 c=7.1508 alpha=90.00 beta=90.00 gamma=120.00
With the nearest neighbours (Å) after each atom.
Space group P6/mmm (No. 191)
Asymmetric unit:
Th 0.0000 0.0000 0.0000 [1 per cell]  12 Pd 3.10
Sn 0.3333 0.6667 0.5000 [2 per cell]  6 Pd 2.72
Pd 0.0000 0.5000 0.1925 [6 per cell]  2 Sn 2.72, 5 Pd 2.75-2.78

Results
Total moment   0.0 μB/f.u.
Formation enthalpy at 0 K   -551 meV/atom

Record 3
Computed, not measured: a geometry-optimized Ac5NiRh structure at the PBE-GGA level of DFT.

Unit cell a=11.0764 b=9.1275 c=11.1800 alpha=90.00 beta=110.81 gamma=90.00
With the nearest neighbours (Å) after each atom.
Space group C2/c (No. 15)
Asymmetric unit:
Ac 0.0000 0.2483 0.2500 [4 per cell]  1 Rh 2.91, 2 Ni 3.16
Ac 0.1004 0.1668 0.6452 [8 per cell]  1 Ni 2.81, 1 Rh 3.07
Ac 0.1799 0.4486 0.0086 [8 per cell]  1 Ni 2.87, 1 Rh 2.87
Ni 0.2500 0.2500 0.5000 [4 per cell]  4 Ac 2.81-2.87
Rh 0.0000 0.4328 0.7500 [4 per cell]  5 Ac 2.87-3.07

Results
Total moment   0.0 μB/f.u.
Formation enthalpy at 0 K   -170 meV/atom

Record 4
Computed, not measured: a geometry-optimized Pr2ErTc structure at the PBE-GGA level of DFT.

Unit cell a=3.5111 b=3.5111 c=33.0447 alpha=90.00 beta=90.00 gamma=120.00
With the nearest neighbours (Å) after each atom.
Space group R-3m (No. 166, hexagonal axes)
Asymmetric unit:
Pr 0.0000 0.0000 0.1031 [6 per cell]  3 Tc 2.92
Er 0.0000 0.0000 0.0000 [3 per cell]  2 Pr 3.41, 6 Er 3.51
Tc 0.0000 0.0000 0.5000 [3 per cell]  6 Pr 2.92

Results
Total moment   0.0 μB/f.u.
Formation enthalpy at 0 K   415 meV/atom

Record 5
Computed, not measured: a geometry-optimized ZnCrNi2 structure at the PBE-GGA level of DFT.

Unit cell a=3.5829 b=3.5829 c=7.5543 alpha=90.00 beta=90.00 gamma=90.00
With the nearest neighbours (Å) after each atom.
Space group I-4m2 (No. 119)
Asymmetric unit:
Zn 0.0000 0.0000 0.0000 [2 per cell]  8 Ni 2.53-2.60, 4 Cr 2.60
Cr 0.0000 0.5000 0.7500 [2 per cell]  8 Ni 2.53-2.60, 4 Zn 2.60
Ni 0.0000 0.0000 0.5000 [2 per cell]  4 Zn 2.53, 4 Cr 2.60, 4 Ni 2.60
Ni 0.0000 0.5000 0.2500 [2 per cell]  4 Cr 2.53, 4 Ni 2.60, 4 Zn 2.60

Results
Total moment   2.9 μB/f.u.
Formation enthalpy at 0 K   18 meV/atom

Record 6
Computed, not measured: a geometry-optimized HfBeCl2 structure at the PBE-GGA level of DFT.

Unit cell a=3.1667 b=3.1667 c=24.1776 alpha=90.00 beta=90.00 gamma=120.00
With the nearest neighbours (Å) after each atom.
Space group R-3m (No. 166, hexagonal axes)
Asymmetric unit:
Hf 0.0000 0.0000 0.0000 [3 per cell]  2 Cl 2.74
Be 0.0000 0.0000 0.5000 [3 per cell]  6 Cl 2.24
Cl 0.0000 0.0000 0.1133 [6 per cell]  3 Be 2.24

Results
Formation energy (no corrections)   -0.334 eV/atom
Total moment   0.0 μB/f.u.
Energy above the most stable polymorph in this dataset   45 meV per atom

Record 7
Computed, not measured: a geometry-optimized AcCuGeBi structure at the PBE-GGA level of DFT.

Unit cell a=7.4530 b=7.4530 c=7.4530 alpha=90.00 beta=90.00 gamma=90.00
With the nearest neighbours (Å) after each atom.
Space group F-43m (No. 216)
Asymmetric unit:
Ac 0.0000 0.0000 0.0000 [4 per cell]  4 Cu 3.23, 4 Ge 3.23
Cu 0.2500 0.2500 0.7500 [4 per cell]  4 Bi 3.23, 4 Ac 3.23
Ge 0.2500 0.2500 0.2500 [4 per cell]  4 Ac 3.23, 4 Bi 3.23
Bi 0.0000 0.0000 0.5000 [4 per cell]  4 Ge 3.23, 4 Cu 3.23

Results
Total moment   0.0 μB/f.u.
Formation enthalpy at 0 K   -158 meV/atom

Record 8
Computed, not measured: a geometry-optimized YCd2Cl structure at the PBE-GGA level of DFT.

Unit cell a=3.4154 b=5.7961 c=5.4518 alpha=90.00 beta=107.87 gamma=90.00
With the nearest neighbours (Å) after each atom.
Space group P2/m (No. 10)
Asymmetric unit:
Y 0.0000 0.0000 0.0000 [1 per cell]  2 Cl 2.73
Cd 0.3991 0.5000 0.7351 [2 per cell]  2 Cd 2.76-2.85
Cl 0.0000 0.0000 0.5000 [1 per cell]  2 Y 2.73

Results
Formation energy (no corrections)   -0.493 eV/atom
Total moment   0.0 μB/f.u.
Energy above the most stable polymorph in this dataset   156 meV per atom

Record 9
Computed, not measured: a geometry-optimized YIN2F structure at the PBE-GGA level of DFT.

Unit cell a=4.5329 b=4.5329 c=4.0920 alpha=90.00 beta=90.00 gamma=90.00
With the nearest neighbours (Å) after each atom.
Space group P4/mmm (No. 123)
Asymmetric unit:
Y 0.0000 0.0000 0.0000 [1 per cell]  8 N 3.05, 4 I 3.21
I 0.5000 0.5000 0.0000 [1 per cell]  2 F 2.05
N 0.0000 0.5000 0.5000 [2 per cell]  2 F 2.27
F 0.5000 0.5000 0.5000 [1 per cell]  2 I 2.05, 4 N 2.27

Results
Formation energy (no corrections)   1.013 eV/atom
Total moment   2.5 μB/f.u.
Energy above the most stable polymorph in this dataset   1019 meV per atom

Record 10
Computed, not measured: a geometry-optimized Sr2SmBr structure at the PBE-GGA level of DFT.

Unit cell a=3.8966 b=3.8966 c=36.2048 alpha=90.00 beta=90.00 gamma=120.00
With the nearest neighbours (Å) after each atom.
Space group R-3m (No. 166, hexagonal axes)
Asymmetric unit:
Sr 0.0000 0.0000 0.1015 [6 per cell]  3 Br 3.26
Sm 0.0000 0.0000 0.0000 [3 per cell]  2 Sr 3.68, 6 Sm 3.90
Br 0.0000 0.0000 0.5000 [3 per cell]  6 Sr 3.26

Results
Formation energy (no corrections)   -0.402 eV/atom
Total moment   0.5 μB/f.u.

Record 11
Computed, not measured: a geometry-optimized TbTaFe10 structure at the PBE-GGA level of DFT.

Unit cell a=3.9736 b=4.8408 c=8.3743 alpha=90.00 beta=90.00 gamma=90.00
With the nearest neighbours (Å) after each atom.
Space group Pmmm (No. 47)
Asymmetric unit:
Tb 0.0000 0.0000 0.0000 [1 per cell]  18 Fe 2.85-3.19
Ta 0.0000 0.5000 0.5000 [1 per cell]  6 Fe 2.67-2.75
Fe 0.0000 0.0000 0.3437 [2 per cell]  7 Fe 2.38-2.62
Fe 0.0000 0.5000 0.1807 [2 per cell]  6 Fe 2.41-2.50, 1 Ta 2.67
Fe 0.5000 0.0000 0.5000 [1 per cell]  8 Fe 2.36-2.38
Fe 0.5000 0.2540 0.2595 [4 per cell]  8 Fe 2.36-2.48
Fe 0.5000 0.5000 0.0000 [1 per cell]  8 Fe 2.48-2.50

Results
Total moment   18.0 μB/f.u.
Formation enthalpy at 0 K   28 meV/atom

Record 12
Computed, not measured: a geometry-optimized BaCa5In4 structure at the PBE-GGA level of DFT.

Unit cell a=3.8921 b=3.8921 c=21.7620 alpha=90.00 beta=90.00 gamma=90.00
With the nearest neighbours (Å) after each atom.
Space group P4/mmm (No. 123)
Asymmetric unit:
Ba 0.0000 0.0000 0.0000 [1 per cell]  4 Ba 3.89, 8 Ca 4.27
Ca 0.5000 0.5000 0.1499 [2 per cell]  4 In 3.32
Ca 0.5000 0.5000 0.3249 [2 per cell]  8 In 3.35-3.38
Ca 0.5000 0.5000 0.5000 [1 per cell]  8 In 3.35
In 0.0000 0.0000 0.2351 [2 per cell]  8 Ca 3.32-3.38
In 0.0000 0.0000 0.4125 [2 per cell]  8 Ca 3.35

Results
Total moment   0.4 μB/f.u.
Formation enthalpy at 0 K   -359 meV/atom

Record 13
Computed, not measured: a geometry-optimized Pm4DyRh5 structure at the PBE-GGA level of DFT.

Unit cell a=3.4752 b=3.4752 c=17.7515 alpha=90.00 beta=90.00 gamma=90.00
With the nearest neighbours (Å) after each atom.
Space group P4/mmm (No. 123)
Asymmetric unit:
Pm 0.0000 0.0000 0.1011 [2 per cell]  8 Rh 3.04
Pm 0.0000 0.0000 0.3029 [2 per cell]  8 Rh 3.04-3.06
Dy 0.0000 0.0000 0.5000 [1 per cell]  8 Rh 2.98
Rh 0.5000 0.5000 0.0000 [1 per cell]  8 Pm 3.04
Rh 0.5000 0.5000 0.2022 [2 per cell]  8 Pm 3.04
Rh 0.5000 0.5000 0.4054 [2 per cell]  4 Dy 2.98, 4 Pm 3.06

Results
Total moment   0.0 μB/f.u.
Formation enthalpy at 0 K   -711 meV/atom

Record 14
Computed, not measured: a geometry-optimized HfPtO3 structure at the PBE-GGA level of DFT.

Unit cell a=4.0578 b=4.0578 c=4.0578 alpha=90.00 beta=90.00 gamma=90.00
With the nearest neighbours (Å) after each atom.
Space group Pm-3m (No. 221)
Asymmetric unit:
Hf 0.0000 0.0000 0.0000 [1 per cell]  6 O 2.03
Pt 0.5000 0.5000 0.5000 [1 per cell]  12 O 2.87
O 0.0000 0.0000 0.5000 [3 per cell]  2 Hf 2.03

Results
Formation energy (no corrections)   -1.352 eV/atom
Total moment   2.0 μB/f.u.

Record 15
Computed, not measured: a geometry-optimized GaSn2C structure at the PBE-GGA level of DFT.

Unit cell a=6.7884 b=6.7884 c=6.7884 alpha=90.00 beta=90.00 gamma=90.00
With the nearest neighbours (Å) after each atom.
Space group Fm-3m (No. 225)
Asymmetric unit:
Ga 0.0000 0.0000 0.0000 [4 per cell]  8 Sn 2.94
Sn 0.2500 0.2500 0.2500 [8 per cell]  4 C 2.94, 4 Ga 2.94
C 0.0000 0.0000 0.5000 [4 per cell]  8 Sn 2.94

Results
Total moment   0.0 μB/f.u.
Formation enthalpy at 0 K   1255 meV/atom
Energy above the most stable polymorph in this dataset   643 meV per atom

Record 16
Computed, not measured: a geometry-optimized Li6GaAg structure at the PBE-GGA level of DFT.

Unit cell a=4.7114 b=5.7242 c=9.9025 alpha=90.00 beta=90.00 gamma=90.00
With the nearest neighbours (Å) after each atom.
Space group Amm2 (No. 38)
Asymmetric unit:
Li 0.0000 0.0000 0.0000 [2 per cell]  8 Li 2.74-2.98, 2 Ga 2.84, 2 Ag 2.86
Li 0.0000 0.2395 0.7606 [4 per cell]  8 Li 2.74-2.98, 2 Ga 2.84, 2 Ag 2.86
Li 0.5000 0.0000 0.3436 [2 per cell]  8 Li 2.80-2.92, 2 Ag 2.86, 2 Ga 2.86
Li 0.5000 0.2447 0.5879 [4 per cell]  8 Li 2.80-2.92, 2 Ag 2.85, 2 Ga 2.86
Ga 0.5000 0.0000 0.8398 [2 per cell]  12 Li 2.84-2.86
Ag 0.0000 0.0000 0.5071 [2 per cell]  12 Li 2.85-2.86

Results
Total moment   0.0 μB/f.u.
Formation enthalpy at 0 K   -168 meV/atom

Record 17
Computed, not measured: a geometry-optimized ScMnCuSn structure at the PBE-GGA level of DFT.

Unit cell a=6.5421 b=6.5421 c=6.5421 alpha=90.00 beta=90.00 gamma=90.00
With the nearest neighbours (Å) after each atom.
Space group F-43m (No. 216)
Asymmetric unit:
Sc 0.0000 0.0000 0.0000 [4 per cell]  4 Sn 2.83, 4 Cu 2.83
Mn 0.0000 0.0000 0.5000 [4 per cell]  4 Sn 2.83, 4 Cu 2.83
Cu 0.2500 0.2500 0.2500 [4 per cell]  4 Mn 2.83, 4 Sc 2.83
Sn 0.2500 0.2500 0.7500 [4 per cell]  4 Mn 2.83, 4 Sc 2.83

Results
Total moment   3.2 μB/f.u.
Formation enthalpy at 0 K   -133 meV/atom

Record 18
Computed, not measured: a geometry-optimized Zn2Cu2Os structure at the PBE-GGA level of DFT.

Unit cell a=7.1101 b=7.1101 c=2.6189 alpha=90.00 beta=90.00 gamma=90.00
With the nearest neighbours (Å) after each atom.
Space group P4/mbm (No. 127)
Asymmetric unit:
Zn 0.1751 0.3249 0.0000 [4 per cell]  6 Cu 2.42-2.51, 2 Zn 2.62
Cu 0.1221 0.6221 0.5000 [4 per cell]  6 Zn 2.42-2.51, 3 Cu 2.46-2.62
Os 0.0000 0.0000 0.5000 [2 per cell]  2 Os 2.62, 4 Cu 2.82, 8 Zn 2.93

Results
Total moment   0.0 μB/f.u.
Formation enthalpy at 0 K   218 meV/atom

Record 19
Computed, not measured: a geometry-optimized NaLiCa2Ni structure at the PBE-GGA level of DFT.

Unit cell a=5.4927 b=5.4927 c=4.9446 alpha=90.00 beta=90.00 gamma=90.00
With the nearest neighbours (Å) after each atom.
Space group P4/mmm (No. 123)
Asymmetric unit:
Na 0.0000 0.0000 0.0000 [1 per cell]  8 Ca 3.70, 4 Li 3.88
Li 0.5000 0.5000 0.0000 [1 per cell]  2 Ni 2.47
Ca 0.0000 0.5000 0.5000 [2 per cell]  2 Ni 2.75
Ni 0.5000 0.5000 0.5000 [1 per cell]  2 Li 2.47, 4 Ca 2.75

Results
Total moment   0.0 μB/f.u.
Formation enthalpy at 0 K   66 meV/atom
Energy above the most stable polymorph in this dataset   0 meV per atom

Record 20
Computed, not measured: a geometry-optimized CoAgN structure at the PBE-GGA level of DFT.

Unit cell a=3.9884 b=3.9884 c=3.4305 alpha=90.00 beta=90.00 gamma=120.00
With the nearest neighbours (Å) after each atom.
Space group P-6m2 (No. 187)
Asymmetric unit:
Co 0.0000 0.0000 0.0000 [1 per cell]  2 N 1.72
Ag 0.3333 0.6667 0.5000 [1 per cell]  3 N 2.30
N 0.0000 0.0000 0.5000 [1 per cell]  2 Co 1.72

Results
Formation energy (no corrections)   0.672 eV/atom
Total moment   0.5 μB/f.u.
Energy above the most stable polymorph in this dataset   263 meV per atom